The following is a DFT calculation (PBE-GGA) of an optimized crystal structure of InAuSe2.

```
InAuSe2
1.0
7.4650 -2.9549 0.0000
7.4650 2.9549 0.0000
-2.3309 0.0000 5.4376
In Au Se
2 2 4
Direct
0.2502 0.2502 0.2498
0.7498 0.7498 0.7502
0.3926 0.3914 0.8912
0.6086 0.6074 0.1088
0.0796 0.6615 0.1604
0.3385 0.9204 0.8396
0.6617 0.0794 0.5783
0.9206 0.3383 0.4217
```

## Properties
ΔE_f (raw) ... -0.38 eV per atom